# Co3Br

A PBEsol-optimized structure of Co3Br (SCAN, Alexandria).

Summary:
Fermi-level density of states in states/eV/f.u.: 2.57
Distance to the lowest polymorph of the same formula in meV per atom: 31
DFT total energy in eV/atom: -17.02
Formation energy (no corrections) in eV per atom: 0.82

Cell: 2.937 4.121 4.121 Å, 90.00 90.00 90.00°
Fractional positions:
Co (0.000, 0.500, 0.500)
Co (0.500, 0.500, 0.000)
Br (0.000, 0.000, 0.000)
Co (0.500, 0.000, 0.500)

# PbCl2

A PBEsol-optimized structure of PbCl2 (SCAN, Alexandria).

Summary:
Fermi-level density of states in states/eV/f.u.: 0.00
DFT total energy in eV/atom: -31.75
Formation energy (no corrections) in eV per atom: -1.17

Cell: 9.562 9.562 9.562 Å, 60.00 60.00 60.00°
Fractional positions:
Cl (0.700, 0.700, 0.300)
Cl (0.300, 0.700, 0.300)
Pb (0.886, 0.343, 0.886)
Cl (0.700, 0.300, 0.700)
Cl (0.625, 0.125, 0.125)
Cl (0.950, 0.950, 0.550)
Cl (0.950, 0.550, 0.950)
Cl (0.950, 0.550, 0.550)
Cl (0.300, 0.300, 0.700)
Cl (0.550, 0.950, 0.950)
Pb (0.364, 0.364, 0.907)
Pb (0.886, 0.886, 0.343)
Cl (0.125, 0.625, 0.125)
Pb (0.364, 0.907, 0.364)
Cl (0.550, 0.550, 0.950)
Cl (0.300, 0.700, 0.700)
Pb (0.907, 0.364, 0.364)
Cl (0.125, 0.125, 0.625)
Cl (0.125, 0.125, 0.125)
Pb (0.343, 0.886, 0.886)
Pb (0.364, 0.364, 0.364)
Pb (0.886, 0.886, 0.886)
Cl (0.550, 0.950, 0.550)
Cl (0.700, 0.300, 0.300)

# Al2HgRh

A PBEsol-optimized structure of Al2HgRh (SCAN, Alexandria).

Summary:
Fermi-level density of states in states/eV/f.u.: 1.37
DFT total energy in eV/atom: -29.63

Cell: 2.932 2.932 7.662 Å, 90.00 90.00 90.00°
Fractional positions:
Al (0.500, 0.500, 0.226)
Al (0.000, 0.000, 0.966)
Hg (0.000, 0.000, 0.520)
Rh (0.500, 0.500, 0.787)

# Ba2GeIBr

A PBEsol-optimized structure of Ba2GeIBr (SCAN, Alexandria).

Summary:
Fermi-level density of states in states/eV/f.u.: 3.13
DFT total energy in eV/atom: -31.64
Formation energy (no corrections) in eV per atom: -0.76

Cell: 5.058 6.204 6.204 Å, 90.00 90.00 90.00°
Fractional positions:
Ba (0.000, 0.000, 0.500)
Br (0.000, 0.000, 0.000)
I (0.500, 0.500, 0.500)
Ba (0.000, 0.500, 0.000)
Ge (0.500, 0.000, 0.000)

# Mn2AgPb

A PBEsol-optimized structure of Mn2AgPb (SCAN, Alexandria).

Summary:
Fermi-level density of states in states/eV/f.u.: 2.07
DFT total energy in eV/atom: -35.77

Cell: 3.168 5.427 4.585 Å, 112.65 90.00 106.97°
Fractional positions:
Pb (0.500, 0.999, 0.499)
Mn (0.733, 0.467, 0.232)
Mn (0.004, 0.007, 0.004)
Ag (0.263, 0.527, 0.765)

# K23Sn9Au12

A PBEsol-optimized structure of K23Sn9Au12 (SCAN, Alexandria).

Summary:
Fermi-level density of states in states/eV/f.u.: 16.32
DFT total energy in eV/atom: -31.00

Cell: 6.853 14.889 14.889 Å, 86.96 76.69 76.69°
Fractional positions:
Sn (0.500, 0.000, 0.000)
Sn (0.167, 0.333, 0.333)
Au (0.403, 0.161, 0.343)
K (0.946, 0.760, 0.439)
Au (0.597, 0.657, 0.839)
Au (0.564, 0.839, 0.343)
K (0.915, 0.785, 0.869)
K (0.701, 0.215, 0.869)
K (0.750, 0.500, 0.500)
K (0.216, 0.869, 0.215)
K (0.054, 0.561, 0.240)
Au (0.762, 0.000, 0.832)
K (0.569, 0.215, 0.131)
Au (0.746, 0.161, 0.657)
Au (0.406, 0.832, 0.000)
Sn (0.304, 0.669, 0.000)
K (0.250, 0.500, 0.500)
Sn (0.696, 0.000, 0.331)
Au (0.238, 0.168, 0.000)
K (0.152, 0.000, 0.433)
K (0.855, 0.439, 0.760)
Au (0.093, 0.343, 0.161)
Au (0.594, 0.000, 0.168)
K (0.706, 0.240, 0.439)
K (0.431, 0.869, 0.785)
K (0.000, 0.000, 0.000)
Sn (0.027, 0.000, 0.669)
Au (0.436, 0.657, 0.161)
K (0.848, 0.567, 0.000)
K (0.585, 0.000, 0.567)
K (0.299, 0.131, 0.785)
Sn (0.500, 0.333, 0.667)
K (0.294, 0.561, 0.760)
Sn (0.833, 0.667, 0.667)
K (0.145, 0.240, 0.561)
Sn (0.500, 0.667, 0.333)
K (0.415, 0.433, 0.000)
K (0.615, 0.439, 0.240)
Au (0.254, 0.343, 0.839)
Au (0.907, 0.839, 0.657)
K (0.385, 0.760, 0.561)
K (0.784, 0.785, 0.131)
Sn (0.973, 0.331, 0.000)
K (0.085, 0.131, 0.215)